# Cr2AgIr, optimized geometry, DFT GGA-PBE
data_Cr2AgIr
_cell_length_a 2.6799
_cell_length_b 2.6799
_cell_length_c 7.8786
_cell_angle_alpha 90.00
_cell_angle_beta 90.00
_cell_angle_gamma 90.00
_space_group_name_H-M_alt 'P 4/m m m'
_space_group_IT_number 123
_space_group_name_Hall '-P 4 2'
loop_
_atom_site_label
_atom_site_type_symbol
_atom_site_fract_x
_atom_site_fract_y
_atom_site_fract_z
Cr1 Cr 0.0000 0.0000 0.2306
Ag1 Ag 0.5000 0.5000 0.5000
Ir1 Ir 0.5000 0.5000 0.0000
# Density of states at the Fermi level (states/eV/atom): 1.1852
# Energy of formation (eV/atom): 0.299